(1)
The following is a PBE calculation of crystalline VSbTe2As at its relaxed geometry, from the Alexandria database.

Calculated values
ρ in Mg/m³: 6.17
Distance to the lowest polymorph of the same formula in eV/atom: 0.0000
Total magnetic moment in μB per cell: 1.01
Formation energy (no corrections) in eV/f.u.: 2.41
E_tot in eV per atom: -4.3521

a = 5.084 Å, b = 5.084 Å, c = 5.231 Å
α = 90.00°, β = 90.00°, γ = 90.00°
Positions (direct):
V: 0.000 0.000 0.000
Sb: 0.000 0.000 0.500
Te: 0.000 0.500 0.000
Te: 0.500 0.000 0.000
As: 0.500 0.500 0.500


(2)
The following is a PBE calculation of crystalline Sb2TeAsW at its relaxed geometry, from the Alexandria database.

Calculated values
ρ in Mg/m³: 7.32
Distance to the lowest polymorph of the same formula in eV/atom: 0.0000
Total magnetic moment in μB per cell: 0.08
Formation energy (no corrections) in eV/f.u.: 4.08
E_tot in eV per atom: -4.9811

a = 5.267 Å, b = 5.267 Å, c = 5.147 Å
α = 90.00°, β = 90.00°, γ = 90.00°
Positions (direct):
Sb: 0.000 0.500 0.000
Sb: 0.500 0.000 0.000
Te: 0.000 0.000 0.500
As: 0.500 0.500 0.500
W: 0.000 0.000 0.000


Q: Which of these has the highest ρ?
A: Sb2TeAsW